Record 1
A plane-wave DFT calculation with PBE was carried out for a geometry-optimized CuSbPbSe3 structure.

The calculated volume is 313.6 Å³ per cell. For the formation energy without anion corrections, the calculation gives -302.5 meV per atom.

It has space group P2_1/m (No. 11), with a = 8.6935 Å, b = 4.0852 Å, c = 9.0030 Å, α = 90.00°, β = 101.25° and γ = 90.00°. Symmetry generates all atoms from Cu at (0.0688, 0.2500, 0.0759), Sb at (0.3354, 0.7500, 0.3535), Pb at (0.1722, 0.2500, 0.7545), Se at (0.1111, 0.2500, 0.3642), Se at (0.2233, 0.7500, 0.0124) and Se at (0.4243, 0.7500, 0.6655).

***

Record 2
A plane-wave DFT calculation with PBE was carried out for a geometry-optimized Li8Al structure.

The calculated volume is 333.4 Å³ per cell. Its formation energy is -0.03 eV/atom.

It has space group I4/mmm (No. 139), with a = 8.5813 Å, b = 8.5813 Å, c = 4.5271 Å, α = 90.00°, β = 90.00° and γ = 90.00°. Symmetry generates all atoms from Li at (0.0000, 0.3257, 0.0000), Li at (0.1592, 0.1592, 0.5000) and Al at (0.0000, 0.0000, 0.0000).

***

Record 3
A plane-wave DFT calculation with PBE was carried out for a geometry-optimized Al2CdI6Br2 structure.

The calculated volume is 501.4 Å³ per cell. For the formation energy without anion corrections, the calculation gives -703.0 meV per atom.

It has space group P-3 (No. 147), with a = 7.3643 Å, b = 7.3643 Å, c = 10.6750 Å, α = 90.00°, β = 90.00° and γ = 120.00°. Symmetry generates all atoms from Al at (0.3333, 0.6667, 0.2489), Cd at (0.0000, 0.0000, 0.5000), I at (0.0004, 0.3334, 0.6701) and Br at (0.3333, 0.6667, 0.0371).

***

Record 4
A plane-wave DFT calculation with PBE was carried out for a geometry-optimized Dy2SnSe structure.

The calculated volume is 318.3 Å³ per cell. For the formation energy without anion corrections, the calculation gives -1095.3 meV per atom.

It has space group R3m (No. 160, hexagonal axes), with a = 3.8462 Å, b = 3.8462 Å, c = 24.8464 Å, α = 90.00°, β = 90.00° and γ = 120.00°. Symmetry generates all atoms from Dy at (0.0000, 0.0000, 0.0000), Dy at (0.0000, 0.0000, 0.1529), Sn at (0.0000, 0.0000, 0.5772) and Se at (0.0000, 0.0000, 0.4088).

***

Record 5
A plane-wave DFT calculation with PBE was carried out for a geometry-optimized ZrW3 structure.

The calculated volume is 142.4 Å³ per cell. Its formation energy is 0.33 eV/atom.

It has space group Pm-3n (No. 223), with a = 5.2224 Å, b = 5.2224 Å, c = 5.2224 Å, α = 90.00°, β = 90.00° and γ = 90.00°. Symmetry generates all atoms from Zr at (0.0000, 0.0000, 0.0000) and W at (0.0000, 0.2500, 0.5000).

***

Record 6
A plane-wave DFT calculation with PBE was carried out for a geometry-optimized BaLaY2 structure.

The calculated volume is 304.8 Å³ per cell. Its formation energy is 0.22 eV/atom.

It has space group I-4m2 (No. 119), with a = 5.3547 Å, b = 5.3547 Å, c = 10.6295 Å, α = 90.00°, β = 90.00° and γ = 90.00°. Symmetry generates all atoms from Ba at (0.0000, 0.0000, 0.0000), La at (0.0000, 0.5000, 0.7500), Y at (0.0000, 0.0000, 0.5000) and Y at (0.0000, 0.5000, 0.2500).

***

Record 7
A plane-wave DFT calculation with PBE was carried out for a geometry-optimized PaMoIr structure.

The calculated volume is 57.1 Å³ per cell. Its formation energy is 0.07 eV/atom.

It has space group P3m1 (No. 156), with a = 4.6894 Å, b = 4.6894 Å, c = 2.9962 Å, α = 90.00°, β = 90.00° and γ = 120.00°. Symmetry generates all atoms from Pa at (0.0000, 0.0000, 0.0000), Mo at (0.3333, 0.6667, 0.5038) and Ir at (0.6667, 0.3333, 0.5005).

***

Record 8
A plane-wave DFT calculation with PBE was carried out for a geometry-optimized Al2ZnIn structure.

The calculated volume is 78.1 Å³ per cell. Its formation energy is 0.17 eV/atom.

It has space group P2/m (No. 10), with a = 2.9090 Å, b = 5.2096 Å, c = 5.1723 Å, α = 90.00°, β = 94.46° and γ = 90.00°. Symmetry generates all atoms from Al at (0.2416, 0.0000, 0.2620), Zn at (0.5000, 0.5000, 0.5000) and In at (0.0000, 0.5000, 0.0000).

***

Copy entry 5 word for word.
A plane-wave DFT calculation with PBE was carried out for a geometry-optimized ZrW3 structure.

The calculated volume is 142.4 Å³ per cell. Its formation energy is 0.33 eV/atom.

It has space group Pm-3n (No. 223), with a = 5.2224 Å, b = 5.2224 Å, c = 5.2224 Å, α = 90.00°, β = 90.00° and γ = 90.00°. Symmetry generates all atoms from Zr at (0.0000, 0.0000, 0.0000) and W at (0.0000, 0.2500, 0.5000).

***

Copy entry 5 word for word.
A plane-wave DFT calculation with PBE was carried out for a geometry-optimized ZrW3 structure.

The calculated volume is 142.4 Å³ per cell. Its formation energy is 0.33 eV/atom.

It has space group Pm-3n (No. 223), with a = 5.2224 Å, b = 5.2224 Å, c = 5.2224 Å, α = 90.00°, β = 90.00° and γ = 90.00°. Symmetry generates all atoms from Zr at (0.0000, 0.0000, 0.0000) and W at (0.0000, 0.2500, 0.5000).

***

What did the fifth record say?
A plane-wave DFT calculation with PBE was carried out for a geometry-optimized ZrW3 structure.

The calculated volume is 142.4 Å³ per cell. Its formation energy is 0.33 eV/atom.

It has space group Pm-3n (No. 223), with a = 5.2224 Å, b = 5.2224 Å, c = 5.2224 Å, α = 90.00°, β = 90.00° and γ = 90.00°. Symmetry generates all atoms from Zr at (0.0000, 0.0000, 0.0000) and W at (0.0000, 0.2500, 0.5000).

***

Repeat the first record exactly.
A plane-wave DFT calculation with PBE was carried out for a geometry-optimized CuSbPbSe3 structure.

The calculated volume is 313.6 Å³ per cell. For the formation energy without anion corrections, the calculation gives -302.5 meV per atom.

It has space group P2_1/m (No. 11), with a = 8.6935 Å, b = 4.0852 Å, c = 9.0030 Å, α = 90.00°, β = 101.25° and γ = 90.00°. Symmetry generates all atoms from Cu at (0.0688, 0.2500, 0.0759), Sb at (0.3354, 0.7500, 0.3535), Pb at (0.1722, 0.2500, 0.7545), Se at (0.1111, 0.2500, 0.3642), Se at (0.2233, 0.7500, 0.0124) and Se at (0.4243, 0.7500, 0.6655).